No. 1
# HfTiSb (PBE-GGA, relaxed)
data_HfTiSb
_chemical_formula_sum 'Hf1 Ti1 Sb1'
_space_group_name_H-M_alt 'P 3 m 1'
_space_group_IT_number 156
_cell_length_a 4.8038
_cell_length_b 4.8038
_cell_length_c 3.1137
_cell_angle_alpha 90.00
_cell_angle_beta 90.00
_cell_angle_gamma 120.00
loop_
_space_group_symop_operation_xyz
'x,y,z'
'-y,x-y,z'
'-x+y,-x,z'
'-y,-x,z'
'-x+y,y,z'
'x,x-y,z'
loop_
_atom_site_label
_atom_site_type_symbol
_atom_site_fract_x
_atom_site_fract_y
_atom_site_fract_z
_atom_site_occupancy
Hf1 Hf 0.0000 0.0000 0.0000 1
Ti1 Ti 0.3333 0.6667 0.5541 1
Sb1 Sb 0.6667 0.3333 0.3797 1
# Crystal system   trigonal
# Total moment   0.85 μB/f.u.
# E   -7.369 eV per atom
# Energy relative to the elements, uncorrected   -0.05 eV per atom

No. 2
# Hf5TiSb5 (PBE-GGA, relaxed)
data_Hf5TiSb5
_chemical_formula_sum 'Hf10 Ti2 Sb10'
_space_group_name_H-M_alt 'C 1 2/m 1'
_space_group_IT_number 12
_cell_length_a 12.403
_cell_length_b 5.567
_cell_length_c 8.057
_cell_angle_alpha 90.00
_cell_angle_beta 105.75
_cell_angle_gamma 90.00
loop_
_space_group_symop_operation_xyz
'x,y,z'
'-x,-y,-z'
'-x,y,-z'
'x,-y,z'
'x+1/2,y+1/2,z'
'-x+1/2,-y+1/2,-z'
'-x+1/2,y+1/2,-z'
'x+1/2,-y+1/2,z'
loop_
_atom_site_label
_atom_site_type_symbol
_atom_site_fract_x
_atom_site_fract_y
_atom_site_fract_z
_atom_site_occupancy
Hf1 Hf 0.000 0.000 0.000 1
Hf2 Hf 0.088 0.500 0.186 1
Hf3 Hf 0.178 0.500 0.864 1
Ti1 Ti 0.000 0.000 0.500 1
Sb1 Sb 0.000 0.500 0.500 1
Sb2 Sb 0.167 0.000 0.340 1
Sb3 Sb 0.171 0.000 0.798 1
# Crystal system   monoclinic
# Total moment   0.00 μB/f.u.
# E   -7.363 eV per atom
# Energy relative to the elements, uncorrected   -0.25 eV per atom

The highest total moment belongs to which entry?
HfTiSb